# ZrHgPb (PBE, optimized geometry)
data_ZrHgPb
_chemical_formula_sum 'Zr2 Hg2 Pb2'
_symmetry_space_group_name_H-M 'P 1'
_symmetry_Int_Tables_number 1
_cell_length_a 5.614
_cell_length_b 5.626
_cell_length_c 6.001
_cell_angle_alpha 63.01
_cell_angle_beta 63.07
_cell_angle_gamma 67.27
loop_
_symmetry_equiv_pos_as_xyz
'x,y,z'
loop_
_atom_site_label
_atom_site_fract_x
_atom_site_fract_y
_atom_site_fract_z
Zr1 0.000 0.000 0.000
Zr2 0.155 0.846 0.501
Hg1 0.636 0.695 0.043
Hg2 0.852 0.482 0.541
Pb1 0.287 0.380 0.008
Pb2 0.536 0.129 0.510
# Raw total energy = -4.1792 eV/atom
# E above lowest polymorph = 0.112 eV/atom
# D(E_F) = 3.7 states/eV per cell
# Size of the total moment = 0.0 Bohr magnetons per cell
# DFT formation energy = 7 meV/atom